! CaYB2N | Alexandria via LeMat-Bulk | GGA-PBE | relaxed; values from VASP
&SYSTEM
  ibrav = 0, nat = 5, ntyp = 4
/
ATOMIC_SPECIES
B 10.81 B.upf
N 14.01 N.upf
Y 88.91 Y.upf
Ca 40.08 Ca.upf
ATOMIC_POSITIONS angstrom
B 0.000 0.000 2.255
B 2.255 0.000 0.000
N 0.000 2.131 0.000
Y 2.255 2.131 2.255
Ca 0.000 0.000 0.000
CELL_PARAMETERS angstrom
4.510 0.000 0.000
0.000 4.262 0.000
0.000 0.000 4.510
! * spin magnetization: 0.00 μB per formula unit
! * volume: 87 Å³ per cell
! * formation energy (no corrections): 1.45 eV/atom
! * E_tot: -22.885 eV/f.u.
! * DOS(E_F): 3.758 states/eV per cell